Record 1
18
Lattice="5.836 0.000 0.000 0.000 9.129 0.000 0.000 0.000 9.129" Properties=species:S:1:pos:R:3 comment="PrNd4Ir4, optimized geometry, DFT PBE" dos_ef_per_ev_atom=0.508 final_energy_ev_per_atom=-7.0975 pbc="T T T"
Pr 0.000 0.000 0.000
Pr 2.918 4.565 4.565
Nd 2.260 2.957 8.326
Nd 5.178 5.368 7.522
Nd 2.260 6.172 0.803
Nd 0.658 1.607 5.368
Nd 3.576 8.326 6.172
Nd 0.658 7.522 3.761
Nd 5.178 3.761 1.607
Nd 3.576 0.803 2.957
Ir 3.597 7.111 3.361
Ir 3.597 2.018 5.769
Ir 0.679 7.926 6.583
Ir 5.158 2.547 7.926
Ir 5.158 6.583 1.204
Ir 2.240 3.361 2.018
Ir 2.240 5.769 7.111
Ir 0.679 1.204 2.547

Record 2
11
Lattice="-2.050 -1.268 3.037 1.205 -6.713 -1.989 11.502 -0.489 5.086" Properties=species:S:1:pos:R:3 comment="Pr2Nd5Ir4, optimized geometry, DFT PBE" dos_ef_per_ev_atom=0.767 final_energy_ev_per_atom=-6.5467 pbc="T T T"
Pr 8.459 -5.902 5.722
Pr 2.198 -2.568 0.412
Nd 3.776 -5.734 0.156
Nd 6.881 -2.736 5.978
Nd 5.188 -2.498 2.460
Nd -1.025 -0.634 1.518
Nd 5.469 -5.972 3.674
Ir 3.130 -4.487 2.715
Ir 1.424 -4.815 -1.049
Ir 7.526 -3.982 3.419
Ir 9.232 -3.654 7.182

Record 3
6
Lattice="5.451 0.000 0.000 2.726 4.721 0.000 2.726 1.574 4.451" Properties=species:S:1:pos:R:3 comment="PrNdIr4, optimized geometry, DFT PBE" dos_ef_per_ev_atom=0.792 final_energy_ev_per_atom=-8.1769 pbc="T T T"
Pr 2.726 1.574 1.113
Ir 5.451 3.147 0.556
Ir 5.451 1.573 2.782
Ir 6.815 3.934 2.782
Ir 4.088 3.934 2.782
Nd 0.000 0.000 0.000

Record 4
11
Lattice="-2.368 1.293 -3.691 3.699 -5.736 -4.383 -6.424 -2.934 5.925" Properties=species:S:1:pos:R:3 comment="Pr4Nd3Ir4, optimized geometry, DFT PBE" dos_ef_per_ev_atom=0.817 final_energy_ev_per_atom=-6.7014 pbc="T T T"
Pr -4.609 -2.214 2.181
Pr -2.047 -2.739 -2.478
Pr -0.484 -5.163 -4.330
Pr -3.045 -4.639 0.328
Nd -1.131 -1.013 0.371
Nd -3.962 -6.365 -2.520
Nd 1.850 -2.868 -2.192
Ir -0.542 -5.010 -1.408
Ir -4.551 -2.368 -0.742
Ir 1.865 -4.080 -5.458
Ir -0.533 -0.363 -2.617

Record 5
15
Lattice="-6.401 -0.480 -4.691 -2.782 -7.359 -1.146 -6.808 -1.642 3.762" Properties=species:S:1:pos:R:3 comment="PrNd8Ir6, optimized geometry, DFT PBE" dos_ef_per_ev_atom=0.714 final_energy_ev_per_atom=-6.9839 pbc="T T T"
Pr 0.000 0.000 0.000
Nd -9.009 -5.637 1.669
Nd -5.919 -6.514 0.266
Nd -8.468 -2.312 0.705
Nd -10.654 -6.316 -1.382
Nd -5.337 -3.164 -0.692
Nd -7.523 -7.169 -2.780
Nd -10.072 -2.967 -2.341
Nd -6.982 -3.844 -3.744
Ir -6.392 -4.102 2.002
Ir -8.526 -8.061 -0.087
Ir -11.071 -3.869 0.375
Ir -4.920 -5.611 -2.450
Ir -7.465 -1.419 -1.988
Ir -9.599 -5.379 -4.076

Record 6
10
Lattice="-5.983 -0.009 3.269 -4.472 -3.456 -4.330 0.255 -5.657 4.315" Properties=species:S:1:pos:R:3 comment="PrNd3Ir, optimized geometry, DFT PBE" dos_ef_per_ev_atom=1.085 final_energy_ev_per_atom=-5.8239 pbc="T T T"
Pr -8.537 -8.503 2.503
Pr -1.663 -0.618 0.752
Nd -1.551 -3.435 2.919
Nd -3.913 -2.335 -1.401
Nd -6.287 -6.787 4.655
Nd -3.779 -5.167 0.751
Nd -8.649 -5.687 0.335
Nd -6.421 -3.954 2.504
Ir -4.054 -2.295 1.632
Ir -6.146 -6.827 1.622

Record 7
3
Lattice="-0.066 -1.660 -3.188 -1.947 -2.664 1.427 -4.668 5.454 -0.715" Properties=species:S:1:pos:R:3 comment="PrNdIr, optimized geometry, DFT PBE" dos_ef_per_ev_atom=0.921 final_energy_ev_per_atom=-6.5237 pbc="T T T"
Pr -0.481 0.279 -0.135
Ir -2.911 -1.057 -1.416
Nd -3.289 1.909 -0.925

Record 8
4
Lattice="3.681 0.000 0.000 0.000 4.951 0.000 0.000 0.000 4.951" Properties=species:S:1:pos:R:3 comment="PrNdIr2, optimized geometry, DFT PBE" dos_ef_per_ev_atom=0.404 final_energy_ev_per_atom=-7.3321 pbc="T T T"
Pr 1.841 2.475 2.475
Ir 0.000 0.000 2.475
Ir 0.000 2.475 0.000
Nd 1.841 0.000 0.000